VASP calculation (PBE-GGA) on crystalline CeSn2Rh at its relaxed geometry. Values from VASP.

Calculated values
Formation energy = -0.682 eV/atom
Energy = -6.004 eV/atom
Volume = 23.00 A^3/atom
SG = Cmcm (63)
Theoretical density = 8.67 Mg/m³

```
&SYSTEM
  ibrav = 0, nat = 8, ntyp = 3
/
ATOMIC_SPECIES
Ce 140.12 Ce.upf
Sn 118.71 Sn.upf
Rh 102.91 Rh.upf
CELL_PARAMETERS angstrom
2.270 -5.550 0.000
2.270 5.550 0.000
0.000 0.000 7.303
ATOMIC_POSITIONS angstrom
Ce 2.270 4.756 5.477
Ce 2.270 -4.756 1.826
Sn 2.270 1.585 3.946
Sn 2.270 1.585 7.008
Sn 2.270 -1.585 0.295
Sn 2.270 -1.585 3.357
Rh 2.270 3.466 1.826
Rh 2.270 -3.466 5.477
```